Entry 1:
Entry from the Alexandria database: an optimized crystal structure of K2RhAu (PBE).

Unit cell a=5.1125 b=4.7637 c=6.0095 alpha=90.00 beta=115.00 gamma=90.00
With the nearest neighbours (Å) after each atom.
Positions (direct):
K (0.0000, 0.0000, 0.0000)  3 Rh 3.25-3.43
K (0.2916, 0.5000, 0.5865)  3 Au 3.29-3.37, 2 Rh 3.68
Rh (0.6835, 0.0000, 0.3702)  2 Au 2.55
Au (0.6024, 0.5000, 0.2052)  2 Rh 2.55

- E above lowest polymorph: 86 meV/atom
- Formation enthalpy at 0 K: 0.235 eV per atom

Entry 2:
Entry from the Alexandria database: an optimized crystal structure of LaSmY2 (PBE).

Unit cell a=7.3036 b=5.0643 c=7.3065 alpha=90.00 beta=90.00 gamma=90.00
With the nearest neighbours (Å) after each atom.
Positions (direct):
La (0.2500, 0.0000, 0.9996)  8 Y 3.63, 2 La 3.65, 2 Sm 3.65
La (0.7500, 0.0000, 0.0004)  8 Y 3.63, 2 La 3.65, 2 Sm 3.65
Sm (0.2500, 0.0000, 0.4998)  8 Y 3.60, 2 Sm 3.65, 2 La 3.65
Sm (0.7500, 0.0000, 0.5002)  8 Y 3.60, 2 Sm 3.65, 2 La 3.65
Y (0.9999, 0.5000, 0.2538)  4 Y 3.60-3.71, 4 Sm 3.60, 4 La 3.63
Y (0.0001, 0.5000, 0.7462)  4 Y 3.60-3.71, 4 Sm 3.60, 4 La 3.63
Y (0.5001, 0.5000, 0.2538)  4 Y 3.60-3.71, 4 Sm 3.60, 4 La 3.63
Y (0.4999, 0.5000, 0.7462)  4 Y 3.60-3.71, 4 Sm 3.60, 4 La 3.63

- E above lowest polymorph: 8 meV/atom
- Formation enthalpy at 0 K: 0.020 eV per atom

Entry 3:
Entry from the Alexandria database: an optimized crystal structure of Ge2BiPd (PBE).

Unit cell a=3.3116 b=3.3116 c=28.7286 alpha=90.00 beta=90.00 gamma=120.00
With the nearest neighbours (Å) after each atom.
Positions (direct):
Ge (0.0000, 0.0000, 0.1056)  3 Pd 2.60
Ge (0.0000, 0.0000, 0.8944)  3 Pd 2.60
Ge (0.3333, 0.6667, 0.5611)  3 Pd 2.60
Ge (0.3333, 0.6667, 0.7722)  3 Pd 2.60
Ge (0.6667, 0.3333, 0.2278)  3 Pd 2.60
Ge (0.6667, 0.3333, 0.4389)  3 Pd 2.60
Bi (0.0000, 0.0000, 0.0000)  2 Ge 3.03, 6 Bi 3.31
Bi (0.3333, 0.6667, 0.6667)  2 Ge 3.03, 6 Bi 3.31
Bi (0.6667, 0.3333, 0.3333)  2 Ge 3.03, 6 Bi 3.31
Pd (0.0000, 0.0000, 0.5000)  6 Ge 2.60
Pd (0.3333, 0.6667, 0.1667)  6 Ge 2.60
Pd (0.6667, 0.3333, 0.8333)  6 Ge 2.60

- Formation enthalpy at 0 K: 0.003 eV per atom

Entry 4:
Entry from the Alexandria database: an optimized crystal structure of Rb2LiSi2 (PBE).

Unit cell a=8.0056 b=8.0056 c=5.4487 alpha=90.00 beta=90.00 gamma=90.00
With the nearest neighbours (Å) after each atom.
Positions (direct):
Rb (0.1922, 0.3078, 0.0000)  6 Si 3.62-3.66, 4 Li 3.98
Rb (0.3078, 0.8078, 0.0000)  6 Si 3.62-3.66, 4 Li 3.98
Rb (0.6922, 0.1922, 0.0000)  6 Si 3.62-3.66, 4 Li 3.98
Rb (0.8078, 0.6922, 0.0000)  6 Si 3.62-3.66, 4 Li 3.98
Li (0.0000, 0.0000, 0.5000)  4 Si 3.31
Li (0.5000, 0.5000, 0.5000)  4 Si 3.31
Si (0.0979, 0.5979, 0.5000)  1 Si 2.22
Si (0.4021, 0.0979, 0.5000)  1 Si 2.22
Si (0.5979, 0.9021, 0.5000)  1 Si 2.22
Si (0.9021, 0.4021, 0.5000)  1 Si 2.22

- Energy relative to the elements, uncorrected: 0.249 eV per atom
- E above lowest polymorph: 0 meV/atom

Table of D(E_F) (states/eV per cell), in record order: 4.242, 12.301, 5.320, 3.355